(1)
DFT (PBE) results for a geometry-optimized BePtO structure.

Geometry as POSCAR:
```
BePtO
1.0
-2.9989 1.8041 2.8206
-0.5477 -2.4218 0.9669
7.0246 0.9870 3.3321
O Pt Be
2 2 2
direct
0.8752 0.0509 0.9111 O
0.3751 0.5509 0.9112 O
0.3373 0.8289 0.4451 Pt
0.8043 0.3002 0.3777 Pt
0.0383 0.5508 0.9111 Be
0.5385 0.0509 0.9112 Be
```

Properties
Magnetization (μB/f.u.): 0.000
Formation energy from raw total energies (eV/atom): -1.4957
Total DFT energy (no corrections) (eV per atom): -6.4041
Crystal system: triclinic

=====

(2)
DFT (PBE) results for a geometry-optimized Th2Co3As4Pt structure.

Geometry as POSCAR:
```
Th2Co3As4Pt
1.0
-2.5250 0.1503 3.4093
3.2870 -1.0331 2.4800
2.0660 9.2663 1.1216
Th As Co Pt
2 4 3 1
direct
0.0000 0.5000 0.7560 Th
0.5000 0.0000 0.2440 Th
0.0000 0.0000 0.0000 As
0.5000 0.5000 0.0000 As
0.0000 0.5000 0.3535 As
0.5000 0.0000 0.6465 As
0.0000 0.5000 0.1104 Co
0.0000 0.0000 0.5000 Co
0.5000 0.0000 0.8896 Co
0.5000 0.5000 0.5000 Pt
```

Properties
Formation energy from the elements (eV/atom): -0.821
Magnetization (μB/f.u.): 1.267
Total DFT energy (no corrections) (eV per atom): -6.9002
Crystal system: tetragonal

=====

(3)
DFT (PBE) results for a geometry-optimized Mg2In4Pb structure.

Geometry as POSCAR:
```
Mg2In4Pb
1.0
4.1353 0.0000 0.0000
0.0000 4.1353 0.0000
-2.0676 -2.0676 11.4000
Mg Pb In
2 1 4
direct
0.4253 0.4253 0.8506 Mg
0.5747 0.5747 0.1494 Mg
0.0000 0.0000 0.0000 Pb
0.8598 0.8598 0.7196 In
0.1402 0.1402 0.2804 In
0.7500 0.2500 0.5000 In
0.2500 0.7500 0.5000 In
```

Properties
Formation energy from the elements (eV/atom): 0.090
Energy above the lowest structure with this stoichiometry (meV per atom): 0
Magnetization (μB/f.u.): 0.000
Total DFT energy (no corrections) (eV per atom): -2.4605
Crystal system: tetragonal

=====

(4)
DFT (PBE) results for a geometry-optimized Nd3Zn structure.

Geometry as POSCAR:
```
Nd3Zn
1.0
3.6905 0.0000 0.0000
0.0000 3.6905 0.0000
0.0000 0.0000 8.8729
Zn Nd
1 3
direct
0.0000 0.0000 0.0000 Zn
0.5000 0.5000 0.7933 Nd
0.0000 0.0000 0.5000 Nd
0.5000 0.5000 0.2067 Nd
```

Properties
Formation energy from the elements (eV/atom): -0.149
Magnetization (μB/f.u.): 0.000
Total DFT energy (no corrections) (eV per atom): -4.0435
Crystal system: tetragonal